VSiW3: optimized geometry, PBE.

a = 4.526 Å, b = 4.526 Å, c = 4.526 Å
α = 90.00°, β = 90.00°, γ = 90.00°
Positions (direct):
Si 0.500 0.500 0.500
W 0.000 0.500 0.000
W 0.000 0.000 0.500
W 0.500 0.000 0.000
V 0.000 0.000 0.000

Calculated values
The symmetry is Pm-3m (221). The formation energy without anion corrections is 1.7952 eV per atom. For the electronic total energy, the calculation gives -44.42 eV per cell. For the energy above the most stable polymorph in this dataset, the calculation gives 475 meV per atom.

---

VSiW: optimized geometry, PBE.

a = 2.692 Å, b = 4.256 Å, c = 4.256 Å
α = 120.00°, β = 90.00°, γ = 90.00°
Positions (direct):
Si 0.649 0.333 0.667
W 0.023 0.000 0.000
V 0.328 0.667 0.333

Calculated values
The symmetry is P3m1 (156). The formation energy without anion corrections is -0.0737 eV per atom. For the electronic total energy, the calculation gives -27.72 eV per cell.

---

V4Si2W3: optimized geometry, PBE.

a = 4.349 Å, b = 4.944 Å, c = 7.546 Å
α = 61.78°, β = 73.27°, γ = 63.92°
Positions (direct):
V 0.330 0.326 0.014
V 0.895 0.541 0.669
V 0.105 0.459 0.331
V 0.670 0.674 0.986
Si 0.773 0.142 0.312
Si 0.227 0.858 0.688
W 0.555 0.223 0.666
W 0.000 0.000 0.000
W 0.445 0.777 0.334

Calculated values
The symmetry is C2/m (12). The formation energy without anion corrections is -0.1697 eV per atom. For the electronic total energy, the calculation gives -87.71 eV per cell.

---

VSi3W: optimized geometry, PBE.

a = 4.388 Å, b = 4.388 Å, c = 4.388 Å
α = 90.00°, β = 90.00°, γ = 90.00°
Positions (direct):
Si 0.000 0.500 0.000
Si 0.000 0.000 0.500
Si 0.500 0.000 0.000
W 0.500 0.500 0.500
V 0.000 0.000 0.000

Calculated values
The symmetry is Pm-3m (221). The formation energy without anion corrections is 1.2378 eV per atom. For the electronic total energy, the calculation gives -32.15 eV per cell. For the energy above the most stable polymorph in this dataset, the calculation gives 275 meV per atom.

---

| no. | spin magnetization (μB/f.u.) |
| --- | --- |
| 1 | 0.00 |
| 2 | 0.00 |
| 3 | 0.00 |
| 4 | 0.76 |